PBE Ba2MgGa2As4, relaxed; uncorrected energy = -36.55 eV for the cell shown; symmetry = C2/m, No. 12
1.0
4.229 0.000 0.000
-2.114 7.979 0.167
0.000 -2.595 6.983
Ba Mg Ga As
2 1 2 4
direct
0.874 0.748 0.445 Ba
0.126 0.252 0.555 Ba
0.000 0.000 0.000 Mg
0.333 0.666 0.014 Ga
0.667 0.334 0.986 Ga
0.790 0.580 0.812 As
0.210 0.420 0.188 As
0.487 0.974 0.238 As
0.513 0.026 0.762 As